Record 1
Below is a relaxed Y2CrCd crystal, with properties calculated at the PBE-GGA level.

Output
**Energy of formation**: 0.062 eV per atom
**Volume**: 386.72 Å³ per cell
**SG**: No. 63
**Total DFT energy (no corrections)**: -5.804 eV per atom

Cell lengths 4.5474, 24.2225, 3.5109 Å; angles 90.00, 90.00, 90.00 degrees
Sites, in units of the cell vectors:
Y (0.0000, 0.2081, 0.2500)
Y (0.0000, 0.7919, 0.7500)
Y (0.5000, 0.7081, 0.2500)
Y (0.5000, 0.2919, 0.7500)
Y (0.0000, 0.0614, 0.2500)
Y (0.0000, 0.9386, 0.7500)
Y (0.5000, 0.5614, 0.2500)
Y (0.5000, 0.4386, 0.7500)
Cr (0.0000, 0.4721, 0.2500)
Cr (0.0000, 0.5279, 0.7500)
Cr (0.5000, 0.9721, 0.2500)
Cr (0.5000, 0.0279, 0.7500)
Cd (0.0000, 0.3547, 0.2500)
Cd (0.0000, 0.6453, 0.7500)
Cd (0.5000, 0.8547, 0.2500)
Cd (0.5000, 0.1453, 0.7500)

---

Record 2
Below is a relaxed Dy12YTm2 crystal, with properties calculated at the PBE-GGA level.

Output
**Energy of formation**: 0.117 eV per atom
**Volume**: 955.12 Å³ per cell
**SG**: No. 12
**Total DFT energy (no corrections)**: -4.592 eV per atom

Cell lengths 6.5767, 6.5767, 24.9127 Å; angles 83.45, 83.45, 114.91 degrees
Sites, in units of the cell vectors:
Dy (0.4154, 0.3900, 0.7987)
Dy (0.8900, 0.9154, 0.7987)
Dy (0.5565, 0.5571, 0.9259)
Dy (0.1089, 0.6089, 0.8559)
Dy (0.0174, 0.9828, 0.3293)
Dy (0.3911, 0.8911, 0.1441)
Dy (0.8077, 0.3077, 0.5926)
Dy (0.4828, 0.5174, 0.3293)
Dy (0.0571, 0.0565, 0.9259)
Dy (0.9435, 0.9429, 0.0741)
Dy (0.3246, 0.3458, 0.5553)
Dy (0.6923, 0.1923, 0.4074)
Dy (0.0172, 0.9826, 0.6707)
Dy (0.1754, 0.1542, 0.4447)
Dy (0.4429, 0.4435, 0.0741)
Dy (0.6542, 0.6754, 0.4447)
Dy (0.8458, 0.8246, 0.5553)
Dy (0.0846, 0.1100, 0.2013)
Dy (0.3498, 0.8498, 0.5649)
Dy (0.4826, 0.5172, 0.6707)
Dy (0.5987, 0.0987, 0.8705)
Dy (0.6100, 0.5846, 0.2013)
Dy (0.1502, 0.6502, 0.4351)
Dy (0.9013, 0.4013, 0.1295)
Y (0.4952, 0.9952, 0.0064)
Y (0.0048, 0.5048, 0.9936)
Tm (0.5568, 0.0568, 0.2696)
Tm (0.0356, 0.5356, 0.2689)
Tm (0.9432, 0.4432, 0.7304)
Tm (0.4644, 0.9644, 0.7311)

---

Record 3
Below is a relaxed PmDyPdRh crystal, with properties calculated at the PBE-GGA level.

Output
**Energy relative to the lowest polymorph listed for this composition**: 0.593 kcal/mol of atoms
**Energy of formation**: -0.801 eV per atom
**Volume**: 86.67 Å³ per cell
**SG**: No. 216
**Total DFT energy (no corrections)**: -6.275 eV per atom

Cell lengths 4.9674, 4.9674, 4.9674 Å; angles 60.00, 60.00, 60.00 degrees
Sites, in units of the cell vectors:
Pm (0.7500, 0.7500, 0.7500)
Rh (0.5000, 0.5000, 0.5000)
Pd (0.0000, 0.0000, 0.0000)
Dy (0.2500, 0.2500, 0.2500)

---

Record 4
Below is a relaxed Nd3Si2Rh3 crystal, with properties calculated at the PBE-GGA level.

Output
**Energy relative to the lowest polymorph listed for this composition**: 1.230 kcal/mol of atoms
**Volume**: 335.31 Å³ per cell
**Formation energy (no corrections)**: -874 meV/atom
**SG**: No. 63
**Total DFT energy (no corrections)**: -6.775 eV per atom

Cell lengths 4.2108, 5.6909, 15.0612 Å; angles 90.00, 90.00, 111.71 degrees
Sites, in units of the cell vectors:
Nd (0.9251, 0.8503, 0.3919)
Nd (0.0749, 0.1497, 0.8919)
Nd (0.9251, 0.8503, 0.1081)
Nd (0.0749, 0.1497, 0.6081)
Nd (0.6363, 0.2726, 0.2500)
Nd (0.3637, 0.7274, 0.7500)
Si (0.7872, 0.5743, 0.8981)
Si (0.2128, 0.4257, 0.3981)
Si (0.7872, 0.5743, 0.6019)
Si (0.2128, 0.4257, 0.1019)
Rh (0.6579, 0.3158, 0.4666)
Rh (0.3421, 0.6842, 0.9666)
Rh (0.6579, 0.3158, 0.0334)
Rh (0.3421, 0.6842, 0.5334)
Rh (0.3279, 0.6558, 0.2500)
Rh (0.6721, 0.3442, 0.7500)

---

Record 5
Below is a relaxed Ho3Mn3S8 crystal, with properties calculated at the PBE-GGA level.

Output
**Volume**: 319.56 Å³ per cell
**Formation energy (no corrections)**: -1327 meV/atom
**SG**: No. 166
**Total DFT energy (no corrections)**: -6.631 eV per atom

Cell lengths 7.6220, 7.6220, 7.6220 Å; angles 60.91, 60.91, 60.91 degrees
Sites, in units of the cell vectors:
Ho (0.5000, 0.0000, 0.0000)
Ho (0.0000, 0.5000, 0.0000)
Ho (0.0000, 0.0000, 0.5000)
Mn (0.3767, 0.3767, 0.3767)
Mn (0.6233, 0.6233, 0.6233)
Mn (0.0000, 0.0000, 0.0000)
S (0.7523, 0.7523, 0.7523)
S (0.2367, 0.7643, 0.7643)
S (0.7643, 0.2367, 0.7643)
S (0.7643, 0.7643, 0.2367)
S (0.2477, 0.2477, 0.2477)
S (0.7633, 0.2357, 0.2357)
S (0.2357, 0.7633, 0.2357)
S (0.2357, 0.2357, 0.7633)

---

Record 6
Below is a relaxed CaSiSb2 crystal, with properties calculated at the PBE-GGA level.

Output
**Volume**: 250.34 Å³ per cell
**Formation energy (no corrections)**: -263 meV/atom
**SG**: No. 122
**Total DFT energy (no corrections)**: -4.180 eV per atom

Cell lengths 7.4307, 7.4307, 6.9400 Å; angles 57.63, 57.63, 90.00 degrees
Sites, in units of the cell vectors:
Sb (0.5600, 0.1250, 0.2500)
Sb (0.1900, 0.6250, 0.2500)
Sb (0.3750, 0.4400, 0.7500)
Sb (0.8750, 0.8100, 0.7500)
Ca (0.0000, 0.0000, 0.0000)
Ca (0.7500, 0.2500, 0.5000)
Si (0.5000, 0.5000, 0.0000)
Si (0.2500, 0.7500, 0.5000)

---

Record 7
Below is a relaxed Ce3In2Rh3 crystal, with properties calculated at the PBE-GGA level.

Output
**Energy of formation**: -0.630 eV per atom
**Volume**: 355.21 Å³ per cell
**SG**: No. 63
**Total DFT energy (no corrections)**: -6.297 eV per atom

Cell lengths 4.5988, 6.1601, 13.5158 Å; angles 90.00, 90.00, 111.92 degrees
Sites, in units of the cell vectors:
Ce (0.9374, 0.8748, 0.3868)
Ce (0.0626, 0.1252, 0.8868)
Ce (0.9374, 0.8748, 0.1132)
Ce (0.0626, 0.1252, 0.6132)
Ce (0.6556, 0.3112, 0.2500)
Ce (0.3444, 0.6888, 0.7500)
In (0.7648, 0.5297, 0.9152)
In (0.2352, 0.4703, 0.4152)
In (0.7648, 0.5297, 0.5848)
In (0.2352, 0.4703, 0.0848)
Rh (0.5961, 0.1923, 0.4348)
Rh (0.4039, 0.8077, 0.9348)
Rh (0.5961, 0.1923, 0.0652)
Rh (0.4039, 0.8077, 0.5652)
Rh (0.3991, 0.7982, 0.2500)
Rh (0.6009, 0.2018, 0.7500)

---

Record 8
Below is a relaxed BaHo2Zn crystal, with properties calculated at the PBE-GGA level.

Output
**Energy relative to the lowest polymorph listed for this composition**: 0.000 kcal/mol of atoms
**Energy of formation**: -0.024 eV per atom
**Volume**: 128.94 Å³ per cell
**SG**: No. 123
**Total DFT energy (no corrections)**: -3.112 eV per atom

Cell lengths 3.6680, 3.6680, 9.5835 Å; angles 90.00, 90.00, 90.00 degrees
Sites, in units of the cell vectors:
Zn (0.5000, 0.5000, 0.0000)
Ho (0.0000, 0.0000, 0.8274)
Ho (0.0000, 0.0000, 0.1726)
Ba (0.5000, 0.5000, 0.5000)